# 1
Here is a relaxed structure of DyCu2Ge2 from Alexandria via LeMat-Bulk. Energies are from PBE-GGA.

a b c (Å): 3.3597 3.3597 19.3699
angles (deg): 90.00 90.00 90.00
Space group I4/mmm (No. 139)
Symmetry-distinct sites (fractional):
Dy 0.0000 0.0000 0.0000 x2
Cu 0.0000 0.5000 0.2500 x4
Ge 0.0000 0.0000 0.1489 x4

- total moment (μB/f.u.) = 0.467
- ΔE_f (eV per atom) = 0.29

---

# 2
Here is a relaxed structure of DyCu3Ge from Alexandria via LeMat-Bulk. Energies are from PBE-GGA.

a b c (Å): 4.4882 5.9739 6.0034
angles (deg): 90.00 90.00 90.00
Space group Pmmn (No. 59, origin choice 2)
Symmetry-distinct sites (fractional):
Dy 0.2500 0.2500 0.2366 x2
Cu 0.2500 0.0503 0.7432 x4
Cu 0.2500 0.7500 0.0497 x2
Ge 0.2500 0.7500 0.4371 x2

- total moment (μB/f.u.) = 0.000
- ΔE_f (eV per atom) = -0.26

---

# 3
Here is a relaxed structure of Dy2CuGe from Alexandria via LeMat-Bulk. Energies are from PBE-GGA.

a b c (Å): 4.8883 4.8883 3.6450
angles (deg): 90.00 90.00 90.00
Space group P4/mmm (No. 123)
Symmetry-distinct sites (fractional):
Dy 0.0000 0.5000 0.0000 x2
Cu 0.0000 0.0000 0.5000 x1
Ge 0.5000 0.5000 0.5000 x1

- total moment (μB/f.u.) = 0.001
- ΔE_f (eV per atom) = -0.48

---

# 4
Here is a relaxed structure of Dy2CuGe3 from Alexandria via LeMat-Bulk. Energies are from PBE-GGA.

a b c (Å): 4.0244 4.2391 7.0935
angles (deg): 90.00 90.00 90.00
Space group Pmm2 (No. 25)
Symmetry-distinct sites (fractional):
Dy 0.0000 0.0000 0.0000 x1
Dy 0.0000 0.5000 0.4922 x1
Cu 0.5000 0.5000 0.8196 x1
Ge 0.5000 0.0000 0.3324 x1
Ge 0.5000 0.0000 0.6799 x1
Ge 0.5000 0.5000 0.1489 x1

- total moment (μB/f.u.) = 0.000
- offset from the most stable computed form (eV/f.u.) = 0.15
- ΔE_f (eV per atom) = -0.63

---

# 5
Here is a relaxed structure of Dy3Cu4Ge4 from Alexandria via LeMat-Bulk. Energies are from PBE-GGA.

a b c (Å): 4.2058 6.6528 13.9596
angles (deg): 90.00 90.00 90.00
Space group Immm (No. 71)
Symmetry-distinct sites (fractional):
Dy 0.0000 0.0000 0.0000 x2
Dy 0.0000 0.5000 0.1296 x4
Cu 0.0000 0.3102 0.3307 x8
Ge 0.0000 0.0000 0.2170 x4
Ge 0.0000 0.1919 0.5000 x4

- total moment (μB/f.u.) = 0.000
- ΔE_f (eV per atom) = -0.64

---

# 6
Here is a relaxed structure of Dy4CuGe3 from Alexandria via LeMat-Bulk. Energies are from PBE-GGA.

a b c (Å): 4.0149 4.2072 10.7901
angles (deg): 90.00 90.00 90.00
Space group Pmm2 (No. 25)
Symmetry-distinct sites (fractional):
Dy 0.0000 0.0000 0.0000 x1
Dy 0.0000 0.5000 0.4974 x1
Dy 0.5000 0.0000 0.7213 x1
Dy 0.5000 0.5000 0.2221 x1
Cu 0.0000 0.0000 0.2891 x1
Ge 0.0000 0.5000 0.7736 x1
Ge 0.5000 0.0000 0.4380 x1
Ge 0.5000 0.5000 0.9434 x1

- total moment (μB/f.u.) = 0.000
- ΔE_f (eV per atom) = -0.72

---

# 7
Here is a relaxed structure of Dy2Cu3Ge4 from Alexandria via LeMat-Bulk. Energies are from PBE-GGA.

a b c (Å): 5.6789 14.7609 7.4682
angles (deg): 90.00 90.00 90.00
Space group Cmce (No. 64)
Symmetry-distinct sites (fractional):
Dy 0.0000 0.1117 0.0921 x8
Cu 0.0000 0.0000 0.5000 x4
Cu 0.2500 0.2214 0.7500 x8
Ge 0.0000 0.1815 0.4719 x8
Ge 0.2500 0.0543 0.7500 x8

- total moment (μB/f.u.) = 0.000
- ΔE_f (eV per atom) = -0.44

---

# 8
Here is a relaxed structure of DyCu12Ge6 from Alexandria via LeMat-Bulk. Energies are from PBE-GGA.

a b c (Å): 10.6880 10.6880 8.8152
angles (deg): 90.00 90.00 120.00
Space group R-3m (No. 166, hexagonal axes)
Symmetry-distinct sites (fractional):
Dy 0.0000 0.0000 0.0000 x3
Cu 0.0000 0.3877 0.5000 x18
Cu 0.0819 0.1638 0.2922 x18
Ge 0.0513 0.5257 0.2500 x18

- total moment (μB/f.u.) = 0.000
- ΔE_f (eV per atom) = 0.07